(1)
DFT (PBE-GGA) results for an optimized crystal structure of AlCd2Cu.

POSCAR file:
```
AlCd2Cu
1.0
-3.3638 2.0731 2.9759
-3.6169 -2.2165 -2.5444
0.1617 -2.3645 1.8299
Al Cu Cd
1 1 2
direct
0.0000 0.5000 0.5000 Al
0.5000 0.0000 0.5000 Cu
0.0000 0.0000 0.0000 Cd
0.5000 0.5000 0.0000 Cd
```

Formation energy from the elements: 0.7 eV per formula unit
SG: P4/mmm

---

(2)
DFT (PBE-GGA) results for an optimized crystal structure of Cs2SrInBr6.

POSCAR file:
```
Cs2SrInBr6
1.0
-5.4500 6.2488 1.1550
1.1428 -0.5330 8.2761
2.2654 6.7781 4.3578
Cs Sr Br In
2 1 6 1
direct
0.7500 0.2500 0.5000 Cs
0.2500 0.7500 0.5000 Cs
0.5000 0.5000 0.0000 Sr
0.2454 0.2454 0.5093 Br
0.7546 0.7546 0.4907 Br
0.2453 0.2453 0.0000 Br
0.7547 0.7547 0.0000 Br
0.7547 0.2453 0.0000 Br
0.2453 0.7547 0.0000 Br
0.0000 0.0000 0.0000 In
```

SG: Fm-3m
ΔE_f (raw): -1.543 eV per atom

---

(3)
DFT (PBE-GGA) results for an optimized crystal structure of Cs2TmNp2Te6.

POSCAR file:
```
Cs2TmNp2Te6
1.0
7.7175 -0.0233 0.0674
-3.8347 6.6974 0.0674
-1.3795 -2.3711 9.1103
Cs Tm Np Te
2 1 2 6
direct
0.8333 0.1667 0.0000 Cs
0.1667 0.8333 0.0000 Cs
0.0000 0.0000 0.5000 Tm
0.3328 0.6672 0.5000 Np
0.6672 0.3328 0.5000 Np
0.7296 0.7296 0.6865 Te
0.0644 0.3939 0.6873 Te
0.2704 0.2704 0.3135 Te
0.3939 0.0644 0.6873 Te
0.9356 0.6061 0.3127 Te
0.6061 0.9356 0.3127 Te
```

SG: C2/m
ΔE_f (raw): -0.999 eV per atom

---

(4)
DFT (PBE-GGA) results for an optimized crystal structure of Be3Cr3C.

POSCAR file:
```
Be3Cr3C
1.0
6.1924 0.0000 3.5752
2.0641 5.8383 3.5752
0.0000 0.0000 7.1504
Be Cr C
12 12 4
direct
0.8315 0.8315 0.8315 Be
0.4185 0.4185 0.7444 Be
0.4185 0.7444 0.4185 Be
0.7444 0.4185 0.4185 Be
0.8315 0.5056 0.8315 Be
0.5056 0.8315 0.8315 Be
0.8315 0.8315 0.5056 Be
0.4185 0.4185 0.4185 Be
0.6250 0.6250 0.6250 Be
0.6250 0.6250 0.1250 Be
0.6250 0.1250 0.6250 Be
0.1250 0.6250 0.6250 Be
0.0529 0.4471 0.0529 Cr
0.1971 0.1971 0.8029 Cr
0.8029 0.8029 0.1971 Cr
0.8029 0.1971 0.8029 Cr
0.8029 0.1971 0.1971 Cr
0.1971 0.8029 0.8029 Cr
0.4471 0.0529 0.0529 Cr
0.0529 0.0529 0.4471 Cr
0.4471 0.4471 0.0529 Cr
0.0529 0.4471 0.4471 Cr
0.1971 0.8029 0.1971 Cr
0.4471 0.0529 0.4471 Cr
0.1250 0.1250 0.1250 C
0.1250 0.1250 0.6250 C
0.1250 0.6250 0.1250 C
0.6250 0.1250 0.1250 C
```

Formation energy from the elements: -1.4 eV per formula unit
SG: Fd-3m

---

(5)
DFT (PBE-GGA) results for an optimized crystal structure of Rb2HoPaTe4.

POSCAR file:
```
Rb2HoPaTe4
1.0
4.4592 0.0000 0.0000
0.0000 7.8078 0.1616
0.0000 -2.7280 8.6025
Rb Ho Pa Te
2 1 1 4
direct
0.5000 0.0000 0.5000 Rb
0.0000 0.5000 0.5000 Rb
0.0000 0.0000 0.0000 Ho
0.5000 0.5000 0.0000 Pa
0.5000 0.2312 0.2008 Te
0.5000 0.7688 0.7992 Te
0.0000 0.2615 0.7959 Te
0.0000 0.7385 0.2041 Te
```

SG: P2/m
ΔE_f (raw): -1.123 eV per atom

---

(6)
DFT (PBE-GGA) results for an optimized crystal structure of La2ZnGe4Rh3.

POSCAR file:
```
La2ZnGe4Rh3
1.0
4.3370 0.0000 0.0000
0.0000 4.3370 0.0000
0.0000 0.0000 10.2219
La Zn Ge Rh
2 1 4 3
direct
0.5000 0.0000 0.2443 La
0.0000 0.5000 0.7557 La
0.5000 0.5000 0.5000 Zn
0.5000 0.5000 0.0000 Ge
0.0000 0.0000 0.0000 Ge
0.5000 0.0000 0.6362 Ge
0.0000 0.5000 0.3638 Ge
0.0000 0.0000 0.5000 Rh
0.5000 0.0000 0.8777 Rh
0.0000 0.5000 0.1223 Rh
```

Formation energy from the elements: -7.9 eV per formula unit
SG: P-4m2

---

(7)
DFT (PBE-GGA) results for an optimized crystal structure of Li2Er2Ga3.

POSCAR file:
```
Li2Er2Ga3
1.0
-1.9591 1.6573 3.3592
-4.3987 -5.4705 0.1336
6.8964 -5.4465 4.0492
Li Er Ga
4 4 6
direct
0.6887 0.9401 0.3773 Li
0.3113 0.0599 0.6227 Li
0.3113 0.4401 0.6227 Li
0.6887 0.5599 0.3773 Li
0.1531 0.2500 0.3061 Er
0.8469 0.7500 0.6939 Er
0.9466 0.2500 0.8932 Er
0.0534 0.7500 0.1068 Er
0.2251 0.7500 0.4502 Ga
0.7749 0.2500 0.5498 Ga
0.5604 0.4310 0.1207 Ga
0.4396 0.5690 0.8793 Ga
0.4396 0.9310 0.8793 Ga
0.5604 0.0690 0.1207 Ga
```

Formation energy from the elements: -2.9 eV per formula unit
SG: Cmcm

---

(8)
DFT (PBE-GGA) results for an optimized crystal structure of Ce4RhAu.

POSCAR file:
```
Ce4RhAu
1.0
-1.0513 1.3445 -5.5210
-1.7322 -7.8479 0.8248
-4.5547 4.7208 3.8382
Ce Rh Au
8 2 2
direct
0.0435 0.1997 0.8090 Ce
0.8248 0.6885 0.6100 Ce
0.2654 0.6092 0.8090 Ce
0.2851 0.9215 0.6100 Ce
0.7149 0.0785 0.3900 Ce
0.7346 0.3908 0.1910 Ce
0.1752 0.3115 0.3900 Ce
0.9565 0.8003 0.1910 Ce
0.2719 0.0219 0.0438 Rh
0.7281 0.9781 0.9562 Rh
0.3677 0.6177 0.2354 Au
0.6323 0.3823 0.7646 Au
```

Formation energy from the elements: -2.6 eV per formula unit
SG: C2/c

---

(9)
DFT (PBE-GGA) results for an optimized crystal structure of YLuInNi.

POSCAR file:
```
YLuInNi
1.0
5.0452 0.0000 0.0000
2.5226 4.3693 0.0000
2.5226 1.4564 4.1194
Y Ni Lu In
1 1 1 1
direct
0.7500 0.7500 0.7500 Y
0.0000 0.0000 0.0000 Ni
0.2500 0.2500 0.2500 Lu
0.5000 0.5000 0.5000 In
```

Formation energy from the elements: -1.3 eV per formula unit
SG: F-43m

---

(10)
DFT (PBE-GGA) results for an optimized crystal structure of CdIn3Si.

POSCAR file:
```
CdIn3Si
1.0
5.4380 0.0000 0.0000
0.0000 5.4380 0.0000
0.0000 0.0000 5.4380
Si Cd In
1 1 3
direct
0.5000 0.5000 0.5000 Si
0.0000 0.0000 0.0000 Cd
0.0000 0.5000 0.0000 In
0.0000 0.0000 0.5000 In
0.5000 0.0000 0.0000 In
```

Distance to the lowest polymorph of the same formula: 0.3977 eV per atom
SG: Pm-3m
ΔE_f (raw): 0.784 eV per atom

---

(11)
DFT (PBE-GGA) results for an optimized crystal structure of Ti12FeSb6.

POSCAR file:
```
Ti12FeSb6
1.0
-4.4721 5.8266 -1.3116
-2.2572 -4.7980 -5.2492
-3.1383 -2.9179 6.1079
Ti Fe Sb
12 1 6
direct
0.7821 0.6007 0.4898 Ti
0.4898 0.7821 0.6007 Ti
0.6007 0.4898 0.7821 Ti
0.2179 0.3993 0.5102 Ti
0.5102 0.2179 0.3993 Ti
0.3993 0.5102 0.2179 Ti
0.0508 0.0132 0.3132 Ti
0.9868 0.6868 0.9492 Ti
0.6868 0.9492 0.9868 Ti
0.9492 0.9868 0.6868 Ti
0.0132 0.3132 0.0508 Ti
0.3132 0.0508 0.0132 Ti
0.0000 0.0000 0.0000 Fe
0.6636 0.8917 0.3364 Sb
0.6636 0.3364 0.1083 Sb
0.1083 0.6636 0.3364 Sb
0.3364 0.1083 0.6636 Sb
0.3364 0.6636 0.8917 Sb
0.8917 0.3364 0.6636 Sb
```

SG: R-3
ΔE_f (raw): -0.134 eV per atom

---

(12)
DFT (PBE-GGA) results for an optimized crystal structure of LiLa2TbTl4.

POSCAR file:
```
LiLa2TbTl4
1.0
-5.0548 0.0686 1.8827
-2.6473 -4.6334 0.7896
0.6092 -1.8808 9.4328
Li La Tb Tl
1 2 1 4
direct
0.5000 0.5000 0.5000 Li
0.7558 0.7558 0.7326 La
0.2442 0.2442 0.2674 La
0.0000 0.0000 0.0000 Tb
0.3752 0.3752 0.8745 Tl
0.8744 0.8744 0.3769 Tl
0.1256 0.1256 0.6231 Tl
0.6248 0.6248 0.1255 Tl
```

Formation energy from the elements: -3.0 eV per formula unit
SG: R-3m

---

Values of total DFT energy (no corrections), in order: -2.25 -3.16 -5.63 -7.24 -4.69 -5.95 -3.56 -6.15 -5.21 -2.13 -6.87 -3.60, all in eV per atom.
Values of total moment, in order: 0.0 0.0 7.0 0.0 2.0 0.0 0.0 0.0 0.0 0.0 0.9 0.0, all in μB/cell.